## HfPbN2O (GGA-PBE)

Data for a geometry-optimized HfPbN2O structure.

Cell lengths 4.2367, 4.2367, 4.0813 Å; angles 90.00, 90.00, 90.00 degrees
Atoms (fractional coordinates):
Hf 0.0000 0.0000 0.0000
Pb 0.5000 0.5000 0.5000
N 0.0000 0.5000 0.5000
N 0.5000 0.0000 0.5000
O 0.5000 0.5000 0.0000

Calculated values
- Crystal system: tetragonal
- Energy relative to the elements, uncorrected: 76 kJ/mol of atoms
- Spin magnetization: 0.00 μB per formula unit
- Theoretical density: 9.740 g/cm³
- E_tot: -0.4608 Ry/atom